# CoCuPtO2

A geometry-optimized CoCuPtO2 structure (PBE+U, Alexandria via LeMat-Bulk).

Calculated values
ρ = 8.834 g/cm3
Energy = -4.826 eV/atom
V = 65.7 Å³/f.u.
Magnetization = 2.78 μB/cell
Crystal system = tetragonal

a = 3.5515 Å, b = 3.5515 Å, c = 5.2098 Å
α = 90.00°, β = 90.00°, γ = 90.00°
Closest atoms and distances in Å follow each position.
Space group P4/mmm (No. 123)
One atom of each set of equivalent atoms:
Co (0.0000, 0.0000, 0.0000) [1 per cell]  4 O 1.78
Cu (0.5000, 0.5000, 0.5000) [1 per cell]  4 Pt 2.51
Pt (0.0000, 0.0000, 0.5000) [1 per cell]  4 Cu 2.51, 2 Co 2.60
O (0.0000, 0.5000, 0.0000) [2 per cell]  2 Co 1.78